Material: AcErWO6
Method: DFT, GGA+U
State: relaxed

Cell lengths 5.246, 5.585, 5.585 Å; angles 120.00, 90.00, 90.00 degrees
Positions (direct):
O 0.711 0.297 0.015
O 0.289 0.718 0.015
O 0.289 0.297 0.282
O 0.711 0.718 0.703
O 0.289 0.985 0.703
O 0.711 0.985 0.282
Ac 0.000 0.333 0.667
Er 0.500 0.667 0.333
W 0.500 0.000 0.000

Its magnetization is 0.00 Bohr magnetons per cell. The calculated total energy comes out at -8.02 eV per atom.